A relaxed Al2CoMo crystal, computed with PBE-GGA.

Properties
Calculated formation energy   -160 meV/atom
Size of the total moment   0.3345 μB per atom

a b c (Å): 4.8787 4.8787 4.8787
angles (deg): 135.82 135.82 64.25
Each line ends with the local moment (μB).
Positions (direct):
Mo (0.7500, 0.2500, 0.5000)  0.34
Al (0.0000, 0.0000, 0.0000)  0.00
Al (0.2500, 0.7500, 0.5000)  0.00
Co (0.5000, 0.5000, 0.0000)  0.95



A relaxed Al2CoMo crystal, computed with PBE-GGA.

Properties
Calculated formation energy   -130 meV/atom
Size of the total moment   0.4509 μB per atom

a b c (Å): 4.2632 4.2632 4.2632
angles (deg): 60.00 60.00 60.00
Each line ends with the local moment (μB).
Positions (direct):
Co (0.0000, 0.0000, 0.0000)  0.70
Al (0.7500, 0.7500, 0.7500)  -0.01
Mo (0.5000, 0.5000, 0.5000)  0.98
Al (0.2500, 0.2500, 0.2500)  -0.01



A relaxed Al2CoMo crystal, computed with PBE-GGA.

Properties
Calculated formation energy   -341 meV/atom
Size of the total moment   0.0600 μB per atom

a b c (Å): 2.7773 2.7773 6.9905
angles (deg): 90.00 90.00 90.00
Each line ends with the local moment (μB).
Positions (direct):
Al (0.0000, 0.0000, 0.0404)  0.00
Co (0.5000, 0.5000, 0.2500)  0.19
Al (0.0000, 0.0000, 0.4596)  0.00
Mo (0.5000, 0.5000, 0.7500)  0.06



A relaxed AlCoMo4 crystal, computed with PBE-GGA.

Properties
Calculated formation energy   459 meV/atom
Size of the total moment   0.1809 μB per atom

a b c (Å): 5.1633 5.1633 5.1633
angles (deg): 60.00 60.00 60.00
Each line ends with the local moment (μB).
Positions (direct):
Mo (0.8747, 0.3751, 0.3751)  -0.01
Al (0.7500, 0.7500, 0.7500)  0.00
Mo (0.3751, 0.3751, 0.8747)  -0.01
Co (0.0000, 0.0000, 0.0000)  1.18
Mo (0.3751, 0.8747, 0.3751)  -0.01
Mo (0.3751, 0.3751, 0.3751)  -0.01



A relaxed AlCoMo3 crystal, computed with PBE-GGA.

Properties
Calculated formation energy   1019 meV/atom
Size of the total moment   0.0000 μB per atom

a b c (Å): 4.4502 4.4502 4.4502
angles (deg): 90.00 90.00 90.00
Positions (direct):
Al (0.5000, 0.5000, 0.5000)
Co (0.0000, 0.0000, 0.0000)
Mo (0.5000, 0.0000, 0.0000)
Mo (0.0000, 0.0000, 0.5000)
Mo (0.0000, 0.5000, 0.0000)



A relaxed AlCo2Mo crystal, computed with PBE-GGA.

Properties
Calculated formation energy   -145 meV/atom
Size of the total moment   0.0002 μB per atom

a b c (Å): 4.5651 4.5651 4.3987
angles (deg): 78.72 78.72 34.30
Positions (direct):
Co (0.9965, 0.9965, 0.9639)
Al (0.7394, 0.7394, 0.8012)
Co (0.2570, 0.2570, 0.2788)
Mo (0.5071, 0.5071, 0.4561)



A relaxed AlCoMo2 crystal, computed with PBE-GGA.

Properties
Calculated formation energy   -52 meV/atom
Size of the total moment   0.0000 μB per atom

a b c (Å): 4.3110 4.3110 4.3110
angles (deg): 60.00 60.00 60.00
Positions (direct):
Co (0.7500, 0.7500, 0.7500)
Al (0.5000, 0.5000, 0.5000)
Mo (0.2500, 0.2500, 0.2500)
Mo (0.0000, 0.0000, 0.0000)



A relaxed AlCoMo2 crystal, computed with PBE-GGA.

Properties
Calculated formation energy   -9 meV/atom
Size of the total moment   0.0000 μB per atom

a b c (Å): 4.8699 4.8699 2.6773
angles (deg): 90.00 90.00 116.54
Positions (direct):
Co (0.0000, 0.5000, 0.5000)
Mo (0.5000, 0.5000, 0.0000)
Al (0.5000, 0.0000, 0.5000)
Mo (0.0000, 0.0000, 0.0000)